This record from Alexandria describes a geometry-optimized SrAcHg2 structure. The functional is PBE.

Structure (CIF):
```
data_SrAcHg2
_cell_length_a 8.0437
_cell_length_b 11.3954
_cell_length_c 5.6925
_cell_angle_alpha 90.00
_cell_angle_beta 90.00
_cell_angle_gamma 90.00
_space_group_name_H-M_alt 'C m c m'
_space_group_IT_number 63
_space_group_name_Hall '-C 2c 2'
loop_
_atom_site_label
_atom_site_type_symbol
_atom_site_fract_x
_atom_site_fract_y
_atom_site_fract_z
_atom_site_occupancy
Sr1 Sr 0.0000 0.1183 0.2500 1
Ac1 Ac 0.0000 0.3706 0.7500 1
Hg1 Hg 0.2442 0.3716 0.2500 1
```

Calculated values
- E above lowest polymorph: 0.0061 eV/atom
- DFT formation energy: -524 meV/atom
- E: -33.96 eV for the cell shown



This record from Alexandria describes a geometry-optimized La2Pr2Br7 structure. The functional is PBE.

Structure (CIF):
```
data_La2Pr2Br7
_cell_length_a 8.9337
_cell_length_b 12.5686
_cell_length_c 7.9218
_cell_angle_alpha 90.00
_cell_angle_beta 91.50
_cell_angle_gamma 90.00
_space_group_name_H-M_alt 'C 1 2/m 1'
_space_group_IT_number 12
_space_group_name_Hall '-C 2y'
loop_
_atom_site_label
_atom_site_type_symbol
_atom_site_fract_x
_atom_site_fract_y
_atom_site_fract_z
_atom_site_occupancy
La1 La 0.0000 0.1498 0.0000 1
Pr1 Pr 0.1953 0.0000 0.3691 1
Br1 Br 0.0000 0.5000 0.5000 1
Br2 Br 0.1361 0.0000 0.7396 1
Br3 Br 0.2160 0.2982 0.7825 1
```

Calculated values
- Uncorrected formation energy: -1.46 eV per atom
- E: -94.39 eV for the cell shown



This record from Alexandria describes a geometry-optimized Si2As2Pt structure. The functional is PBE.

Structure (CIF):
```
data_Si2As2Pt
_cell_length_a 7.2969
_cell_length_b 7.2969
_cell_length_c 3.7230
_cell_angle_alpha 90.00
_cell_angle_beta 90.00
_cell_angle_gamma 90.00
_space_group_name_H-M_alt 'P 4/m b m'
_space_group_IT_number 127
_space_group_name_Hall '-P 4 2ab'
loop_
_atom_site_label
_atom_site_type_symbol
_atom_site_fract_x
_atom_site_fract_y
_atom_site_fract_z
_atom_site_occupancy
Si1 Si 0.1102 0.3898 0.0000 1
As1 As 0.2463 0.7463 0.5000 1
Pt1 Pt 0.0000 0.0000 0.5000 1
```

Calculated values
- Uncorrected formation energy: 0.32 eV per atom
- E above lowest polymorph: 0.0323 eV/atom
- E: -49.17 eV for the cell shown



This record from Alexandria describes a geometry-optimized PrBiPb2O6 structure. The functional is PBE.

Structure (CIF):
```
data_PrBiPb2O6
_cell_length_a 6.0002
_cell_length_b 6.2928
_cell_length_c 10.5524
_cell_angle_alpha 90.00
_cell_angle_beta 124.23
_cell_angle_gamma 90.00
_space_group_name_H-M_alt 'P 1 21/c 1'
_space_group_IT_number 14
_space_group_name_Hall '-P 2ybc'
loop_
_atom_site_label
_atom_site_type_symbol
_atom_site_fract_x
_atom_site_fract_y
_atom_site_fract_z
_atom_site_occupancy
Pr1 Pr 0.0000 0.0000 0.0000 1
Bi1 Bi 0.5000 0.0000 0.5000 1
Pb1 Pb 0.2387 0.0376 0.7451 1
O1 O 0.1565 0.1805 0.4549 1
O2 O 0.2698 0.7119 0.4459 1
O3 O 0.3693 0.0364 0.2635 1
```

Calculated values
- Uncorrected formation energy: -1.57 eV per atom
- E: -122.96 eV for the cell shown



This record from Alexandria describes a geometry-optimized LaSc2Fe structure. The functional is PBE.

Structure (CIF):
```
data_LaSc2Fe
_cell_length_a 4.9973
_cell_length_b 4.9973
_cell_length_c 7.1362
_cell_angle_alpha 90.00
_cell_angle_beta 90.00
_cell_angle_gamma 90.00
_space_group_name_H-M_alt 'I -4 m 2'
_space_group_IT_number 119
_space_group_name_Hall 'I -4 -2'
loop_
_atom_site_label
_atom_site_type_symbol
_atom_site_fract_x
_atom_site_fract_y
_atom_site_fract_z
_atom_site_occupancy
La1 La 0.0000 0.0000 0.0000 1
Sc1 Sc 0.0000 0.0000 0.5000 1
Sc2 Sc 0.0000 0.5000 0.7500 1
Fe1 Fe 0.0000 0.5000 0.2500 1
```

Calculated values
- E above lowest polymorph: 0.3122 eV/atom
- DFT formation energy: 277 meV/atom
- E: -49.89 eV for the cell shown



This record from Alexandria describes a geometry-optimized Ba2Na2Ge structure. The functional is PBE.

Structure (CIF):
```
data_Ba2Na2Ge
_cell_length_a 8.0161
_cell_length_b 8.0161
_cell_length_c 5.6337
_cell_angle_alpha 90.00
_cell_angle_beta 90.00
_cell_angle_gamma 90.00
_space_group_name_H-M_alt 'P 4/m b m'
_space_group_IT_number 127
_space_group_name_Hall '-P 4 2ab'
loop_
_atom_site_label
_atom_site_type_symbol
_atom_site_fract_x
_atom_site_fract_y
_atom_site_fract_z
_atom_site_occupancy
Ba1 Ba 0.1988 0.3012 0.0000 1
Na1 Na 0.1362 0.6362 0.5000 1
Ge1 Ge 0.0000 0.0000 0.5000 1
```

Calculated values
- DFT formation energy: -23 meV/atom
- E: -22.43 eV for the cell shown



This record from Alexandria describes a geometry-optimized CaAl3Rh structure. The functional is PBE.

Structure (CIF):
```
data_CaAl3Rh
_cell_length_a 5.2430
_cell_length_b 5.2430
_cell_length_c 5.2430
_cell_angle_alpha 90.00
_cell_angle_beta 90.00
_cell_angle_gamma 90.00
_space_group_name_H-M_alt 'P m -3 m'
_space_group_IT_number 221
_space_group_name_Hall '-P 4 2 3'
loop_
_atom_site_label
_atom_site_type_symbol
_atom_site_fract_x
_atom_site_fract_y
_atom_site_fract_z
_atom_site_occupancy
Ca1 Ca 0.0000 0.0000 0.0000 1
Al1 Al 0.0000 0.0000 0.5000 1
Rh1 Rh 0.5000 0.5000 0.5000 1
```

Calculated values
- DFT formation energy: 1704 meV/atom
- E: -12.06 eV for the cell shown



This record from Alexandria describes a geometry-optimized Sr3CdPd8 structure. The functional is PBE.

Structure (CIF):
```
data_Sr3CdPd8
_cell_length_a 5.5436
_cell_length_b 5.5436
_cell_length_c 27.0808
_cell_angle_alpha 90.00
_cell_angle_beta 90.00
_cell_angle_gamma 120.00
_space_group_name_H-M_alt 'R 3 m'
_space_group_IT_number 160
_space_group_name_Hall 'R 3 -2"'
loop_
_atom_site_label
_atom_site_type_symbol
_atom_site_fract_x
_atom_site_fract_y
_atom_site_fract_z
_atom_site_occupancy
Sr1 Sr 0.0000 0.0000 0.0000 1
Sr2 Sr 0.0000 0.0000 0.1281 1
Sr3 Sr 0.0000 0.0000 0.5090 1
Cd1 Cd 0.0000 0.0000 0.6311 1
Pd1 Pd 0.0000 0.0000 0.3160 1
Pd2 Pd 0.0000 0.0000 0.8165 1
Pd3 Pd 0.0004 0.5002 0.5675 1
Pd4 Pd 0.1678 0.3357 0.3983 1
```

Calculated values
- DFT formation energy: -544 meV/atom
- E: -162.08 eV for the cell shown



This record from Alexandria describes a geometry-optimized Ca2TaZn structure. The functional is PBE.

Structure (CIF):
```
data_Ca2TaZn
_cell_length_a 6.3562
_cell_length_b 9.7716
_cell_length_c 3.1087
_cell_angle_alpha 90.00
_cell_angle_beta 90.00
_cell_angle_gamma 90.00
_space_group_name_H-M_alt 'C m m m'
_space_group_IT_number 65
_space_group_name_Hall '-C 2 2'
loop_
_atom_site_label
_atom_site_type_symbol
_atom_site_fract_x
_atom_site_fract_y
_atom_site_fract_z
_atom_site_occupancy
Ca1 Ca 0.2500 0.2500 0.0000 1
Ta1 Ta 0.0000 0.0000 0.5000 1
Zn1 Zn 0.0000 0.5000 0.5000 1
```

Calculated values
- DFT formation energy: 541 meV/atom
- E: -29.93 eV for the cell shown



This record from Alexandria describes a geometry-optimized ScNi2Hg structure. The functional is PBE.

Structure (CIF):
```
data_ScNi2Hg
_cell_length_a 5.9504
_cell_length_b 5.9515
_cell_length_c 3.5204
_cell_angle_alpha 90.00
_cell_angle_beta 90.17
_cell_angle_gamma 90.00
_space_group_name_H-M_alt 'C 1 2/m 1'
_space_group_IT_number 12
_space_group_name_Hall '-C 2y'
loop_
_atom_site_label
_atom_site_type_symbol
_atom_site_fract_x
_atom_site_fract_y
_atom_site_fract_z
_atom_site_occupancy
Sc1 Sc 0.0000 0.0000 0.0000 1
Ni1 Ni 0.2500 0.2500 0.5000 1
Hg1 Hg 0.0000 0.5000 0.0000 1
```

Calculated values
- DFT formation energy: -211 meV/atom
- E: -38.08 eV for the cell shown



This record from Alexandria describes a geometry-optimized MnRhS2 structure. The functional is PBE.

Structure (CIF):
```
data_MnRhS2
_cell_length_a 3.0868
_cell_length_b 3.0868
_cell_length_c 21.9768
_cell_angle_alpha 90.00
_cell_angle_beta 90.00
_cell_angle_gamma 120.00
_space_group_name_H-M_alt 'R -3 m'
_space_group_IT_number 166
_space_group_name_Hall '-R 3 2"'
loop_
_atom_site_label
_atom_site_type_symbol
_atom_site_fract_x
_atom_site_fract_y
_atom_site_fract_z
_atom_site_occupancy
Mn1 Mn 0.0000 0.0000 0.0000 1
Rh1 Rh 0.0000 0.0000 0.5000 1
S1 S 0.0000 0.0000 0.3975 1
```

Calculated values
- Uncorrected formation energy: -0.32 eV per atom
- E above lowest polymorph: 0.0021 eV/atom
- E: -78.11 eV for the cell shown



This record from Alexandria describes a geometry-optimized Pm8Sb6Te structure. The functional is PBE.

Structure (CIF):
```
data_Pm8Sb6Te
_cell_length_a 10.9250
_cell_length_b 10.9250
_cell_length_c 4.7670
_cell_angle_alpha 90.00
_cell_angle_beta 90.00
_cell_angle_gamma 120.00
_space_group_name_H-M_alt 'P -3'
_space_group_IT_number 147
_space_group_name_Hall '-P 3'
loop_
_atom_site_label
_atom_site_type_symbol
_atom_site_fract_x
_atom_site_fract_y
_atom_site_fract_z
_atom_site_occupancy
Pm1 Pm 0.0291 0.3124 0.2368 1
Pm2 Pm 0.3333 0.6667 0.7576 1
Sb1 Sb 0.1217 0.6459 0.2596 1
Te1 Te 0.0000 0.0000 0.0000 1
```

Calculated values
- Uncorrected formation energy: -0.88 eV per atom
- E: -79.04 eV for the cell shown



> Look up the E of the third one.

-49.17 eV for the cell shown